DFT (PBE) results for SmLu2Hf after structural relaxation.

abc: 5.4191 5.4191 5.4191
angles: 60.00 60.00 60.00
Each line ends with the local moment (μB).
Fractional positions:
Hf  0.5000  0.5000  0.5000  0.17
Sm  0.0000  0.0000  0.0000  0.01
Lu  0.7500  0.7500  0.7500  0.07
Lu  0.2500  0.2500  0.2500  0.07

Energy relative to the lowest polymorph listed for this composition: 123.3 meV per atom
ρ: 10.0 g/cm³
Space-group type: Fm-3m, No. 225
ΔE_f: 0.263 eV/atom
Raw total energy: -22.661 eV per cell